# Li3SiP

A relaxed Li3SiP crystal (PBE, Alexandria).

Results
- total moment (μB/f.u.) = 0.0
- theoretical density (Mg/m³) = 1.40
- formation energy (no corrections) (eV/atom) = 0.11
- D(E_F) (states/eV/f.u.) = 2.5

CIF file:
```
data_Li3SiP
_cell_length_a 4.558
_cell_length_b 4.558
_cell_length_c 4.558
_cell_angle_alpha 90.00
_cell_angle_beta 90.00
_cell_angle_gamma 90.00
_symmetry_space_group_name_H-M 'P 1'
_symmetry_Int_Tables_number 1
loop_
_symmetry_equiv_pos_as_xyz
'x,y,z'
loop_
_atom_site_label
_atom_site_fract_x
_atom_site_fract_y
_atom_site_fract_z
Li1 0.000 0.000 0.500
Li2 0.000 0.500 0.000
Li3 0.500 0.000 0.000
Si1 0.500 0.500 0.500
P1 0.000 0.000 0.000
```

---

# Li2SiP

A relaxed Li2SiP crystal (PBE, Alexandria).

Results
- total moment (μB/f.u.) = 0.0
- theoretical density (Mg/m³) = 2.08
- formation energy (no corrections) (eV/atom) = -0.10
- D(E_F) (states/eV/f.u.) = 3.0

CIF file:
```
data_Li2SiP
_cell_length_a 8.459
_cell_length_b 8.459
_cell_length_c 8.459
_cell_angle_alpha 19.36
_cell_angle_beta 19.36
_cell_angle_gamma 19.36
_symmetry_space_group_name_H-M 'P 1'
_symmetry_Int_Tables_number 1
loop_
_symmetry_equiv_pos_as_xyz
'x,y,z'
loop_
_atom_site_label
_atom_site_fract_x
_atom_site_fract_y
_atom_site_fract_z
Li1 0.244 0.244 0.244
Li2 0.756 0.756 0.756
Si1 0.000 0.000 0.000
P1 0.500 0.500 0.500
```

---

# LiSiP2

A relaxed LiSiP2 crystal (PBE, Alexandria).

Results
- total moment (μB/f.u.) = 0.0
- theoretical density (Mg/m³) = 2.75
- formation energy (no corrections) (eV/atom) = 0.38
- D(E_F) (states/eV/f.u.) = 2.3

CIF file:
```
data_LiSiP2
_cell_length_a 4.359
_cell_length_b 4.359
_cell_length_c 4.359
_cell_angle_alpha 60.00
_cell_angle_beta 60.00
_cell_angle_gamma 60.00
_symmetry_space_group_name_H-M 'P 1'
_symmetry_Int_Tables_number 1
loop_
_symmetry_equiv_pos_as_xyz
'x,y,z'
loop_
_atom_site_label
_atom_site_fract_x
_atom_site_fract_y
_atom_site_fract_z
Li1 0.000 0.000 0.000
Si1 0.250 0.250 0.250
P1 0.500 0.500 0.500
P2 0.750 0.750 0.750
```

---

# Li2SiP

A relaxed Li2SiP crystal (PBE, Alexandria).

Results
- total moment (μB/f.u.) = 0.0
- theoretical density (Mg/m³) = 2.12
- formation energy (no corrections) (eV/atom) = -0.08
- D(E_F) (states/eV/f.u.) = 2.0

CIF file:
```
data_Li2SiP
_cell_length_a 4.320
_cell_length_b 4.320
_cell_length_c 4.320
_cell_angle_alpha 60.00
_cell_angle_beta 60.00
_cell_angle_gamma 60.00
_symmetry_space_group_name_H-M 'P 1'
_symmetry_Int_Tables_number 1
loop_
_symmetry_equiv_pos_as_xyz
'x,y,z'
loop_
_atom_site_label
_atom_site_fract_x
_atom_site_fract_y
_atom_site_fract_z
Li1 0.250 0.250 0.250
Li2 0.750 0.750 0.750
Si1 0.000 0.000 0.000
P1 0.500 0.500 0.500
```

---

# Li2SiP

A relaxed Li2SiP crystal (PBE, Alexandria).

Results
- total moment (μB/f.u.) = 0.0
- theoretical density (Mg/m³) = 1.58
- formation energy (no corrections) (eV/atom) = 0.05
- D(E_F) (states/eV/f.u.) = 1.2

CIF file:
```
data_Li2SiP
_cell_length_a 3.233
_cell_length_b 3.233
_cell_length_c 8.151
_cell_angle_alpha 90.00
_cell_angle_beta 90.00
_cell_angle_gamma 116.18
_symmetry_space_group_name_H-M 'P 1'
_symmetry_Int_Tables_number 1
loop_
_symmetry_equiv_pos_as_xyz
'x,y,z'
loop_
_atom_site_label
_atom_site_fract_x
_atom_site_fract_y
_atom_site_fract_z
Li1 0.000 0.000 0.000
Li2 0.500 0.500 0.335
Si1 0.000 0.000 0.591
P1 0.500 0.500 0.769
```

---

# LiSiP2

A relaxed LiSiP2 crystal (PBE, Alexandria).

Results
- total moment (μB/f.u.) = 0.0
- theoretical density (Mg/m³) = 2.65
- formation energy (no corrections) (eV/atom) = 0.15
- D(E_F) (states/eV/f.u.) = 1.4

CIF file:
```
data_LiSiP2
_cell_length_a 3.000
_cell_length_b 3.000
_cell_length_c 7.357
_cell_angle_alpha 90.00
_cell_angle_beta 90.00
_cell_angle_gamma 113.40
_symmetry_space_group_name_H-M 'P 1'
_symmetry_Int_Tables_number 1
loop_
_symmetry_equiv_pos_as_xyz
'x,y,z'
loop_
_atom_site_label
_atom_site_fract_x
_atom_site_fract_y
_atom_site_fract_z
Li1 0.000 0.000 0.000
Si1 0.000 0.000 0.500
P1 0.500 0.500 0.268
P2 0.500 0.500 0.732
```

---

# LiSiP2

A relaxed LiSiP2 crystal (PBE, Alexandria).

Results
- total moment (μB/f.u.) = 0.0
- theoretical density (Mg/m³) = 2.51
- formation energy (no corrections) (eV/atom) = 0.09
- D(E_F) (states/eV/f.u.) = 1.0

CIF file:
```
data_LiSiP2
_cell_length_a 3.484
_cell_length_b 3.484
_cell_length_c 5.276
_cell_angle_alpha 90.00
_cell_angle_beta 90.00
_cell_angle_gamma 90.00
_symmetry_space_group_name_H-M 'P 1'
_symmetry_Int_Tables_number 1
loop_
_symmetry_equiv_pos_as_xyz
'x,y,z'
loop_
_atom_site_label
_atom_site_fract_x
_atom_site_fract_y
_atom_site_fract_z
Li1 0.000 0.000 0.000
Si1 0.000 0.000 0.500
P1 0.500 0.500 0.294
P2 0.500 0.500 0.706
```

---

# Li2SiP

A relaxed Li2SiP crystal (PBE, Alexandria).

Results
- total moment (μB/f.u.) = 0.0
- theoretical density (Mg/m³) = 2.16
- formation energy (no corrections) (eV/atom) = -0.21
- D(E_F) (states/eV/f.u.) = 0.3

CIF file:
```
data_Li2SiP
_cell_length_a 2.779
_cell_length_b 4.456
_cell_length_c 4.529
_cell_angle_alpha 90.00
_cell_angle_beta 90.00
_cell_angle_gamma 90.00
_symmetry_space_group_name_H-M 'P 1'
_symmetry_Int_Tables_number 1
loop_
_symmetry_equiv_pos_as_xyz
'x,y,z'
loop_
_atom_site_label
_atom_site_fract_x
_atom_site_fract_y
_atom_site_fract_z
Li1 0.000 0.000 0.000
Li2 0.000 0.500 0.280
Si1 0.500 0.000 0.509
P1 0.500 0.500 0.763
```

---

# LiSiP2

A relaxed LiSiP2 crystal (PBE, Alexandria).

Results
- total moment (μB/f.u.) = 0.0
- theoretical density (Mg/m³) = 2.03
- formation energy (no corrections) (eV/atom) = -0.14
- D(E_F) (states/eV/f.u.) = 5.1

CIF file:
```
data_LiSiP2
_cell_length_a 6.219
_cell_length_b 6.219
_cell_length_c 6.219
_cell_angle_alpha 123.95
_cell_angle_beta 123.95
_cell_angle_gamma 83.29
_symmetry_space_group_name_H-M 'P 1'
_symmetry_Int_Tables_number 1
loop_
_symmetry_equiv_pos_as_xyz
'x,y,z'
loop_
_atom_site_label
_atom_site_fract_x
_atom_site_fract_y
_atom_site_fract_z
Li1 0.000 0.000 0.000
Li2 0.750 0.250 0.500
Si1 0.250 0.750 0.500
Si2 0.500 0.500 0.000
P1 0.159 0.625 0.034
P2 0.375 0.409 0.534
P3 0.591 0.125 0.966
P4 0.875 0.841 0.466
```

---

# LiSiP3

A relaxed LiSiP3 crystal (PBE, Alexandria).

Results
- total moment (μB/f.u.) = 0.0
- theoretical density (Mg/m³) = 2.61
- formation energy (no corrections) (eV/atom) = 0.97
- D(E_F) (states/eV/f.u.) = 3.4

CIF file:
```
data_LiSiP3
_cell_length_a 4.332
_cell_length_b 4.332
_cell_length_c 4.332
_cell_angle_alpha 90.00
_cell_angle_beta 90.00
_cell_angle_gamma 90.00
_symmetry_space_group_name_H-M 'P 1'
_symmetry_Int_Tables_number 1
loop_
_symmetry_equiv_pos_as_xyz
'x,y,z'
loop_
_atom_site_label
_atom_site_fract_x
_atom_site_fract_y
_atom_site_fract_z
Li1 0.000 0.000 0.000
Si1 0.500 0.500 0.500
P1 0.000 0.000 0.500
P2 0.000 0.500 0.000
P3 0.500 0.000 0.000
```

---

# Li2SiP

A relaxed Li2SiP crystal (PBE, Alexandria).

Results
- total moment (μB/f.u.) = 0.0
- theoretical density (Mg/m³) = 1.95
- formation energy (no corrections) (eV/atom) = 0.03
- D(E_F) (states/eV/f.u.) = 1.3

CIF file:
```
data_Li2SiP
_cell_length_a 4.448
_cell_length_b 4.448
_cell_length_c 4.448
_cell_angle_alpha 60.00
_cell_angle_beta 60.00
_cell_angle_gamma 60.00
_symmetry_space_group_name_H-M 'P 1'
_symmetry_Int_Tables_number 1
loop_
_symmetry_equiv_pos_as_xyz
'x,y,z'
loop_
_atom_site_label
_atom_site_fract_x
_atom_site_fract_y
_atom_site_fract_z
Li1 0.000 0.000 0.000
Li2 0.250 0.250 0.250
Si1 0.750 0.750 0.750
P1 0.500 0.500 0.500
```

---

# Li2SiP

A relaxed Li2SiP crystal (PBE, Alexandria).

Results
- total moment (μB/f.u.) = 0.0
- theoretical density (Mg/m³) = 1.95
- formation energy (no corrections) (eV/atom) = -0.01
- D(E_F) (states/eV/f.u.) = 2.0

CIF file:
```
data_Li2SiP
_cell_length_a 6.286
_cell_length_b 6.286
_cell_length_c 6.286
_cell_angle_alpha 90.00
_cell_angle_beta 90.00
_cell_angle_gamma 90.00
_symmetry_space_group_name_H-M 'P 1'
_symmetry_Int_Tables_number 1
loop_
_symmetry_equiv_pos_as_xyz
'x,y,z'
loop_
_atom_site_label
_atom_site_fract_x
_atom_site_fract_y
_atom_site_fract_z
Li1 0.000 0.000 0.000
Li2 0.000 0.000 0.500
Li3 0.000 0.500 0.000
Li4 0.266 0.266 0.266
Li5 0.266 0.734 0.734
Li6 0.500 0.000 0.000
Li7 0.734 0.266 0.734
Li8 0.734 0.734 0.266
Si1 0.284 0.284 0.716
Si2 0.284 0.716 0.284
Si3 0.716 0.284 0.284
Si4 0.716 0.716 0.716
P1 0.000 0.500 0.500
P2 0.500 0.000 0.500
P3 0.500 0.500 0.000
P4 0.500 0.500 0.500
```